Record 1
The following is a DFT calculation (PBE) of an optimized crystal structure of VZnFe.

Cell lengths 2.567, 4.091, 7.224 Å; angles 90.00, 91.61, 90.00 degrees
Sites, in units of the cell vectors:
1 V 0.183 0.250 0.090
2 V 0.817 0.750 0.910
3 Zn 0.203 0.750 0.575
4 Zn 0.797 0.250 0.425
5 Fe 0.498 0.750 0.225
6 Fe 0.502 0.250 0.775

SG = P2_1/m (11)
total energy = -18.941 eV/f.u.
formation enthalpy at 0 K = -0.028 eV/atom



Record 2
The following is a DFT calculation (PBE) of an optimized crystal structure of VZnFe.

Cell lengths 4.157, 4.157, 2.520 Å; angles 90.00, 90.00, 120.00 degrees
Sites, in units of the cell vectors:
1 V 0.000 0.000 0.000
2 Zn 0.667 0.333 0.414
3 Fe 0.333 0.667 0.748

SG = P3m1 (156)
total energy = -18.939 eV/f.u.
formation enthalpy at 0 K = -0.028 eV/atom



Record 3
The following is a DFT calculation (PBE) of an optimized crystal structure of VZn4Fe.

Cell lengths 2.685, 2.685, 13.382 Å; angles 95.84, 95.84, 59.81 degrees
Sites, in units of the cell vectors:
1 V 0.000 0.000 0.000
2 Zn 0.115 0.115 0.342
3 Zn 0.389 0.389 0.169
4 Zn 0.611 0.611 0.831
5 Zn 0.885 0.885 0.658
6 Fe 0.500 0.500 0.500

SG = C2/m (12)
total energy = -22.340 eV/f.u.
formation enthalpy at 0 K = 0.056 eV/atom



Record 4
The following is a DFT calculation (PBE) of an optimized crystal structure of VZn2Fe2.

Cell lengths 6.707, 6.707, 6.707 Å; angles 151.12, 151.12, 41.30 degrees
Sites, in units of the cell vectors:
1 V 0.000 0.000 0.000
2 Zn 0.250 0.750 0.500
3 Zn 0.750 0.250 0.500
4 Fe 0.411 0.411 0.000
5 Fe 0.589 0.589 0.000

SG = I4/mmm (139)
total energy = -26.788 eV/f.u.
formation enthalpy at 0 K = 0.361 eV/atom



Record 5
The following is a DFT calculation (PBE) of an optimized crystal structure of VZnFe2.

Cell lengths 5.471, 5.471, 5.471 Å; angles 154.02, 130.67, 56.59 degrees
Sites, in units of the cell vectors:
1 V 0.000 0.000 0.000
2 Zn 0.500 0.500 0.000
3 Fe 0.251 0.251 0.000
4 Fe 0.749 0.749 0.000

SG = Immm (71)
total energy = -25.446 eV/f.u.
formation enthalpy at 0 K = 0.468 eV/atom



Record 6
The following is a DFT calculation (PBE) of an optimized crystal structure of V8ZnFe2.

Cell lengths 6.070, 6.070, 5.464 Å; angles 102.25, 102.25, 48.39 degrees
Sites, in units of the cell vectors:
1 V 0.093 0.093 0.416
2 V 0.128 0.669 0.091
3 V 0.303 0.303 0.708
4 V 0.331 0.872 0.909
5 V 0.669 0.128 0.091
6 V 0.697 0.697 0.292
7 V 0.872 0.331 0.909
8 V 0.907 0.907 0.584
9 Zn 0.500 0.500 0.500
10 Fe 0.273 0.273 0.274
11 Fe 0.727 0.727 0.726

SG = C2/m (12)
total energy = -88.932 eV/f.u.
formation enthalpy at 0 K = 0.202 eV/atom



Record 7
The following is a DFT calculation (PBE) of an optimized crystal structure of ZrVFe2.

Cell lengths 2.918, 2.918, 6.486 Å; angles 90.00, 90.00, 90.00 degrees
Sites, in units of the cell vectors:
1 Zr 0.000 0.000 0.000
2 V 0.000 0.000 0.500
3 Fe 0.500 0.500 0.292
4 Fe 0.500 0.500 0.708

SG = P4/mmm (123)
total energy = -35.001 eV/f.u.
formation enthalpy at 0 K = -0.102 eV/atom



Record 8
The following is a DFT calculation (PBE) of an optimized crystal structure of ZrV2Fe.

Cell lengths 5.563, 5.563, 5.563 Å; angles 102.88, 102.88, 123.66 degrees
Sites, in units of the cell vectors:
1 Zr 0.000 0.000 0.000
2 Zr 0.750 0.250 0.500
3 V 0.181 0.625 0.056
4 V 0.375 0.431 0.556
5 V 0.569 0.125 0.944
6 V 0.875 0.819 0.444
7 Fe 0.250 0.750 0.500
8 Fe 0.500 0.500 0.000

SG = I-42d (122)
total energy = -33.935 eV/f.u.
formation enthalpy at 0 K = 0.328 eV/atom



no.,volume (Å³/atom)
1,12.64
2,12.57
3,13.81
4,14.04
5,13.53
6,13.31
7,13.81
8,15.79